LaPm2YP4 | PBE-GGA | relaxed

Calculated density = 5.31 g/cm3
Energy of formation from the pure elements = -1.5692 eV per atom
Calculated volume = 25.10 Å³ per atom
Calculated total energy = -6.8857 eV per atom

Structure (POSCAR):
```
LaPm2YP4
1.0
4.1425 0.0000 0.0000
0.0000 7.1660 0.1281
0.0000 -2.5032 6.7189
La Pm Y P
1 2 1 4
direct
0.5000 0.5000 0.0000
0.5000 0.0000 0.5000
0.0000 0.5000 0.5000
0.0000 0.0000 0.0000
0.5000 0.2435 0.2475
0.5000 0.7565 0.7525
0.0000 0.2435 0.7479
0.0000 0.7565 0.2521
```